1.
Entry from Alexandria via LeMat-Bulk: an optimized crystal structure of CaScHg2Au (GGA-PBE).

Unit cell a=5.3530 b=5.3530 c=6.2028 alpha=90.00 beta=90.00 gamma=90.00
Space group P4/mmm (No. 123)
Asymmetric unit:
Ca 0.0000 0.0000 0.0000 (multiplicity 1)
Sc 0.0000 0.0000 0.5000 (multiplicity 1)
Hg 0.0000 0.5000 0.5000 (multiplicity 2)
Au 0.5000 0.5000 0.0000 (multiplicity 1)

Calculated formation energy ... 0.5178 eV/atom
E_tot ... -9.63 eV/f.u.

2.
Entry from Alexandria via LeMat-Bulk: an optimized crystal structure of Ca4Si3HgAu12 (GGA-PBE).

Unit cell a=9.8500 b=9.8500 c=9.8500 alpha=90.00 beta=90.00 gamma=90.00
Space group Im-3m (No. 229)
Asymmetric unit:
Ca 0.2500 0.2500 0.2500 (multiplicity 8)
Si 0.0000 0.0000 0.5000 (multiplicity 6)
Hg 0.0000 0.0000 0.0000 (multiplicity 2)
Au 0.0000 0.0000 0.2652 (multiplicity 12)
Au 0.0000 0.2500 0.5000 (multiplicity 12)

E_tot ... -69.46 eV/f.u.

3.
Entry from Alexandria via LeMat-Bulk: an optimized crystal structure of Ca3Si2HgAu6 (GGA-PBE).

Unit cell a=5.8662 b=5.8662 c=9.7104 alpha=90.00 beta=90.00 gamma=120.00
Space group P-3m1 (No. 164)
Asymmetric unit:
Ca 0.0000 0.0000 0.0000 (multiplicity 1)
Ca 0.3333 0.6667 0.6056 (multiplicity 2)
Si 0.3333 0.6667 0.0785 (multiplicity 2)
Hg 0.0000 0.0000 0.5000 (multiplicity 1)
Au 0.1666 0.3332 0.2659 (multiplicity 6)

E_tot ... -40.68 eV/f.u.

4.
Entry from Alexandria via LeMat-Bulk: an optimized crystal structure of Ca3Si2Hg2Au4 (GGA-PBE).

Unit cell a=4.5141 b=4.5141 c=24.3881 alpha=90.00 beta=90.00 gamma=90.00
Space group I4/mmm (No. 139)
Asymmetric unit:
Ca 0.0000 0.0000 0.0000 (multiplicity 2)
Ca 0.0000 0.0000 0.1909 (multiplicity 4)
Si 0.0000 0.0000 0.4510 (multiplicity 4)
Hg 0.0000 0.0000 0.3198 (multiplicity 4)
Au 0.0000 0.5000 0.0949 (multiplicity 8)

E_tot ... -36.14 eV/f.u.

5.
Entry from Alexandria via LeMat-Bulk: an optimized crystal structure of Ca2SiHgAu6 (GGA-PBE).

Unit cell a=5.6481 b=8.9166 c=9.3099 alpha=90.00 beta=90.00 gamma=90.00
Space group Pmmn (No. 59, origin choice 2)
Asymmetric unit:
Ca 0.2500 0.0006 0.2462 (multiplicity 4)
Si 0.2500 0.7500 0.7339 (multiplicity 2)
Hg 0.2500 0.2500 0.7982 (multiplicity 2)
Au 0.0012 0.2500 0.5194 (multiplicity 4)
Au 0.0017 0.2500 0.0538 (multiplicity 4)
Au 0.2500 0.5075 0.6124 (multiplicity 4)

E_tot ... -33.31 eV/f.u.

6.
Entry from Alexandria via LeMat-Bulk: an optimized crystal structure of CaSm2HgAu4 (GGA-PBE).

Unit cell a=5.0797 b=5.0797 c=25.0389 alpha=90.00 beta=90.00 gamma=120.00
Space group R-3m (No. 166, hexagonal axes)
Asymmetric unit:
Ca 0.0000 0.0000 0.0000 (multiplicity 3)
Sm 0.0000 0.0000 0.2422 (multiplicity 6)
Hg 0.0000 0.0000 0.5000 (multiplicity 3)
Au 0.0000 0.0000 0.1196 (multiplicity 6)
Au 0.0000 0.0000 0.3685 (multiplicity 6)

Calculated formation energy ... -0.7200 eV/atom
E_tot ... -30.61 eV/f.u.